Record 1
# PBE ScUSe2S, optimized geometry
# - E_form (uncorrected) (eV/atom) = -1.35
data_ScUSe2S
_cell_length_a 4.034
_cell_length_b 4.034
_cell_length_c 13.659
_cell_angle_alpha 90.00
_cell_angle_beta 90.00
_cell_angle_gamma 90.00
_symmetry_space_group_name_H-M 'P 4/n m m'
_symmetry_Int_Tables_number 129
loop_
_symmetry_equiv_pos_as_xyz
'x,y,z'
'-x,-y,-z'
'-y+1/2,x,z'
'y+1/2,-x,-z'
'-x+1/2,-y+1/2,z'
'x+1/2,y+1/2,-z'
'y,-x+1/2,z'
'-y,x+1/2,-z'
'x+1/2,-y,-z'
'-x+1/2,y,z'
'-y,-x,-z'
'y,x,z'
'-x,y+1/2,-z'
'x,-y+1/2,z'
'y+1/2,x+1/2,-z'
'-y+1/2,-x+1/2,z'
loop_
_atom_site_label
_atom_site_type_symbol
_atom_site_fract_x
_atom_site_fract_y
_atom_site_fract_z
Sc1 Sc 0.250 0.250 0.092
U1 U 0.250 0.250 0.633
Se1 Se 0.250 0.250 0.289
Se2 Se 0.250 0.250 0.893
S1 S 0.250 0.750 0.500


Record 2
# PBE Pr3TeN2, optimized geometry
# - E_form (uncorrected) (eV/atom) = -1.15
data_Pr3TeN2
_cell_length_a 9.745
_cell_length_b 10.935
_cell_length_c 6.118
_cell_angle_alpha 90.00
_cell_angle_beta 90.07
_cell_angle_gamma 90.00
_symmetry_space_group_name_H-M 'C 1 2/c 1'
_symmetry_Int_Tables_number 15
loop_
_symmetry_equiv_pos_as_xyz
'x,y,z'
'-x,-y,-z'
'-x,y,-z+1/2'
'x,-y,z+1/2'
'x+1/2,y+1/2,z'
'-x+1/2,-y+1/2,-z'
'-x+1/2,y+1/2,-z+1/2'
'x+1/2,-y+1/2,z+1/2'
loop_
_atom_site_label
_atom_site_type_symbol
_atom_site_fract_x
_atom_site_fract_y
_atom_site_fract_z
Pr1 Pr 0.000 0.095 0.250
Pr2 Pr 0.214 0.400 0.249
Te1 Te 0.000 0.327 0.750
N1 N 0.159 0.000 0.000


Record 3
# PBE Tb2ErScBi4, optimized geometry
# - E_form (meV per atom) = -800
data_Tb2ErScBi4
_cell_length_a 7.667
_cell_length_b 4.432
_cell_length_c 7.672
_cell_angle_alpha 90.00
_cell_angle_beta 109.48
_cell_angle_gamma 90.00
_symmetry_space_group_name_H-M 'P 1 2/m 1'
_symmetry_Int_Tables_number 10
loop_
_symmetry_equiv_pos_as_xyz
'x,y,z'
'-x,-y,-z'
'-x,y,-z'
'x,-y,z'
loop_
_atom_site_label
_atom_site_type_symbol
_atom_site_fract_x
_atom_site_fract_y
_atom_site_fract_z
Tb1 Tb 0.000 0.000 0.000
Tb2 Tb 0.000 0.500 0.500
Er1 Er 0.500 0.000 0.500
Sc1 Sc 0.500 0.500 0.000
Bi1 Bi 0.257 0.500 0.247
Bi2 Bi 0.261 0.000 0.759


Respective magnetization values: 2.325, 0.755, 0.000 μB/f.u..